[1]
{
  "formula": "Ca3PrTh2As6",
  "functional": "PBE",
  "state": "relaxed",
  "cell": [[-4.439, -3.695, -4.734], [-1.806, 0.449, 7.232], [-1.429, 6.887, -2.071]],
  "species": ["As", "Pr", "Th", "As", "Ca", "Th", "Ca", "As", "As", "As", "As", "Ca"],
  "fractional_positions": [[0.081, 0.419, 0.243], [0.000, 0.000, 0.000], [0.333, 0.667, 0.000], [0.919, 0.581, 0.757], [0.500, 0.500, 0.500], [0.667, 0.333, 0.000], [0.165, 0.835, 0.500], [0.257, 0.257, 0.757], [0.419, 0.081, 0.243], [0.581, 0.919, 0.757], [0.743, 0.743, 0.243], [0.835, 0.165, 0.500]],
  "e_form_ev_per_atom": -1.293,
  "magnetic_moment_mub_per_atom": 0.00,
  "sg": "No. 12"
}

=====

[2]
{
  "formula": "CaPrTh2As4",
  "functional": "PBE",
  "state": "relaxed",
  "cell": [[4.282, 0.000, 0.000], [0.000, 7.411, 0.128], [0.000, -2.592, 6.913]],
  "species": ["Th", "Pr", "Th", "As", "Ca", "As", "As", "As"],
  "fractional_positions": [[0.500, 0.000, 0.500], [0.000, 0.000, 0.000], [0.000, 0.500, 0.500], [0.500, 0.253, 0.255], [0.500, 0.500, 0.000], [0.000, 0.752, 0.257], [0.000, 0.248, 0.743], [0.500, 0.747, 0.745]],
  "e_form_ev_per_atom": -1.419,
  "magnetic_moment_mub_per_atom": 0.00,
  "sg": "No. 10"
}

=====

[3]
{
  "formula": "CaPrTm2As4",
  "functional": "PBE",
  "state": "relaxed",
  "cell": [[4.164, 0.000, 0.000], [0.000, 7.268, -0.169], [0.000, 2.531, 6.740]],
  "species": ["As", "As", "As", "Tm", "Tm", "Ca", "As", "Pr"],
  "fractional_positions": [[0.000, 0.235, 0.256], [0.500, 0.766, 0.245], [0.500, 0.234, 0.755], [0.000, 0.000, 0.000], [0.500, 0.000, 0.500], [0.000, 0.500, 0.500], [0.000, 0.765, 0.744], [0.500, 0.500, 0.000]],
  "e_form_ev_per_atom": -1.343,
  "magnetic_moment_mub_per_atom": 0.00,
  "sg": "No. 10"
}

=====

[4]
{
  "formula": "Ca4PrU3As8",
  "functional": "PBE",
  "state": "relaxed",
  "cell": [[8.403, 0.000, 0.000], [0.000, 8.399, -0.009], [-4.202, -4.197, 5.945]],
  "species": ["As", "As", "As", "Ca", "Ca", "U", "As", "As", "Ca", "As", "Pr", "As", "U", "As", "U", "Ca"],
  "fractional_positions": [[0.268, 0.267, 0.018], [0.749, 0.267, 0.498], [0.251, 0.733, 0.502], [0.500, 0.000, 0.500], [0.500, 0.000, 0.000], [0.000, 0.500, 0.500], [0.743, 0.730, 0.486], [0.257, 0.270, 0.514], [0.000, 0.000, 0.500], [0.251, 0.733, 0.982], [0.000, 0.500, 0.000], [0.749, 0.267, 0.018], [0.500, 0.500, 0.000], [0.732, 0.733, 0.982], [0.500, 0.500, 0.500], [0.000, 0.000, 0.000]],
  "e_form_ev_per_atom": -1.052,
  "magnetic_moment_mub_per_atom": 0.31,
  "sg": "No. 166"
}

=====

[5]
{
  "formula": "CaPr2YAs4",
  "functional": "PBE",
  "state": "relaxed",
  "cell": [[4.258, 0.000, 0.000], [0.000, 7.316, -0.118], [0.000, 2.599, 6.929]],
  "species": ["As", "As", "Pr", "As", "As", "Y", "Pr", "Ca"],
  "fractional_positions": [[0.500, 0.258, 0.743], [0.500, 0.742, 0.257], [0.000, 0.000, 0.000], [0.000, 0.746, 0.746], [0.000, 0.254, 0.254], [0.000, 0.500, 0.500], [0.500, 0.000, 0.500], [0.500, 0.500, 0.000]],
  "e_form_ev_per_atom": -1.346,
  "magnetic_moment_mub_per_atom": 0.00,
  "sg": "No. 10"
}

=====

[6]
{
  "formula": "CaPr2ZrAs4",
  "functional": "PBE",
  "state": "relaxed",
  "cell": [[4.166, 0.000, 0.000], [0.000, 7.268, 0.163], [0.000, -2.504, 6.704]],
  "species": ["Pr", "As", "Ca", "As", "Pr", "As", "As", "Zr"],
  "fractional_positions": [[0.000, 0.500, 0.500], [0.500, 0.767, 0.771], [0.500, 0.500, 0.000], [0.000, 0.759, 0.235], [0.500, 0.000, 0.500], [0.500, 0.233, 0.229], [0.000, 0.241, 0.765], [0.000, 0.000, 0.000]],
  "e_form_ev_per_atom": -1.289,
  "magnetic_moment_mub_per_atom": 0.00,
  "sg": "No. 10"
}

=====

[7]
{
  "formula": "Ca2PrZrAs4",
  "functional": "PBE",
  "state": "relaxed",
  "cell": [[4.125, 0.000, 0.000], [0.000, 7.183, 0.140], [0.000, -2.495, 6.860]],
  "species": ["As", "Ca", "As", "As", "Pr", "As", "Zr", "Ca"],
  "fractional_positions": [[0.000, 0.766, 0.240], [0.000, 0.500, 0.500], [0.500, 0.226, 0.230], [0.000, 0.234, 0.760], [0.500, 0.500, 0.000], [0.500, 0.774, 0.770], [0.000, 0.000, 0.000], [0.500, 0.000, 0.500]],
  "e_form_ev_per_atom": -1.160,
  "magnetic_moment_mub_per_atom": 0.00,
  "sg": "No. 10"
}

=====

[8]
{
  "formula": "CaAs2Pt",
  "functional": "PBE",
  "state": "relaxed",
  "cell": [[-3.033, 5.408, -0.251], [-5.945, 1.097, 1.401], [5.196, -2.733, 2.009]],
  "species": ["Ca", "As", "Pt", "As"],
  "fractional_positions": [[0.470, 0.470, 0.000], [0.061, 0.061, 0.000], [0.211, 0.711, 0.500], [0.758, 0.258, 0.500]],
  "e_form_ev_per_atom": -0.473,
  "magnetic_moment_mub_per_atom": 0.00,
  "sg": "No. 44"
}

=====

[9]
{
  "formula": "CaAsPt2",
  "functional": "PBE",
  "state": "relaxed",
  "cell": [[4.708, 0.000, 0.000], [2.354, 4.077, 0.000], [2.354, 1.359, 3.844]],
  "species": ["As", "Pt", "Ca", "Pt"],
  "fractional_positions": [[0.500, 0.500, 0.500], [0.250, 0.250, 0.250], [0.750, 0.750, 0.750], [0.000, 0.000, 0.000]],
  "e_form_ev_per_atom": -0.353,
  "magnetic_moment_mub_per_atom": 0.00,
  "sg": "No. 216"
}

=====

[10]
{
  "formula": "CaAs2Pt",
  "functional": "PBE",
  "state": "relaxed",
  "cell": [[4.376, 0.047, 0.007], [-0.050, 4.376, 0.007], [-0.007, -0.007, 3.991]],
  "species": ["As", "As", "Pt", "Ca"],
  "fractional_positions": [[0.000, 0.000, 0.000], [0.500, 0.500, 0.000], [0.000, 0.500, 0.500], [0.500, 0.000, 0.500]],
  "e_form_ev_per_atom": -0.447,
  "magnetic_moment_mub_per_atom": 0.00,
  "sg": "No. 123"
}

=====

[11]
{
  "formula": "Ca4AsPt",
  "functional": "PBE",
  "state": "relaxed",
  "cell": [[5.714, -1.302, 1.846], [1.000, -1.996, 5.724], [1.660, -5.835, 0.973]],
  "species": ["Ca", "Ca", "Ca", "As", "Ca", "Pt"],
  "fractional_positions": [[0.875, 0.375, 0.375], [0.375, 0.375, 0.875], [0.375, 0.875, 0.375], [0.000, 0.000, 0.000], [0.375, 0.375, 0.375], [0.750, 0.750, 0.750]],
  "e_form_ev_per_atom": 0.259,
  "magnetic_moment_mub_per_atom": 0.00,
  "sg": "No. 216"
}

=====

[12]
{
  "formula": "CaAs2Pt4",
  "functional": "PBE",
  "state": "relaxed",
  "cell": [[3.941, 0.000, 0.000], [0.000, 7.985, 0.000], [0.000, 0.000, 7.985]],
  "species": ["As", "Pt", "Pt", "Pt", "Ca", "Pt", "As", "Ca", "Pt", "As", "Pt", "Pt", "As", "Pt"],
  "fractional_positions": [[0.000, 0.224, 0.776], [0.000, 0.077, 0.326], [0.500, 0.826, 0.423], [0.500, 0.423, 0.826], [0.000, 0.500, 0.500], [0.000, 0.326, 0.077], [0.500, 0.276, 0.276], [0.500, 0.000, 0.000], [0.500, 0.577, 0.174], [0.500, 0.724, 0.724], [0.000, 0.674, 0.923], [0.000, 0.923, 0.674], [0.000, 0.776, 0.224], [0.500, 0.174, 0.577]],
  "e_form_ev_per_atom": -0.576,
  "magnetic_moment_mub_per_atom": 0.00,
  "sg": "No. 136"
}